(i)
First-principles (PBE-GGA) data for crystalline Ir3PbW at its relaxed geometry, as listed in Alexandria via LeMat-Bulk.

Lattice parameters (Å, degrees): 4.8456 4.8456 4.8456 90.00 90.00 90.00
Element x y z (fractional)
Ir (0.5000, 0.0000, 0.0000)
W (0.5000, 0.5000, 0.5000)
Ir (0.0000, 0.5000, 0.0000)
Pb (0.0000, 0.0000, 0.0000)
Ir (0.0000, 0.0000, 0.5000)

Values from the calculation:
Its density of states at the Fermi level is 17.73 states/eV/f.u. The space group is Pm-3m, No. 221.

***

(ii)
First-principles (PBE-GGA) data for crystalline Ir3PbW at its relaxed geometry, as listed in Alexandria via LeMat-Bulk.

Lattice parameters (Å, degrees): 4.8242 4.8242 4.8242 90.00 90.00 90.00
Element x y z (fractional)
Ir (0.0000, 0.5000, 0.0000)
Pb (0.5000, 0.5000, 0.5000)
Ir (0.0000, 0.0000, 0.5000)
Ir (0.5000, 0.0000, 0.0000)
W (0.0000, 0.0000, 0.0000)

Values from the calculation:
Its density of states at the Fermi level is 5.25 states/eV/f.u. The space group is Pm-3m, No. 221.

***

The most stable of them is (ii).

***

(i)
First-principles (PBE-GGA) data for crystalline Y2IrPb2 at its relaxed geometry, as listed in Alexandria via LeMat-Bulk.

Lattice parameters (Å, degrees): 7.2725 7.2725 4.7445 90.00 90.00 90.00
Element x y z (fractional)
Y (0.1693, 0.6693, 0.5000)
Y (0.6693, 0.8307, 0.5000)
Pb (0.1455, 0.3545, 0.0000)
Y (0.3307, 0.1693, 0.5000)
Ir (0.5000, 0.5000, 0.0000)
Y (0.8307, 0.3307, 0.5000)
Pb (0.3545, 0.8545, 0.0000)
Pb (0.6455, 0.1455, 0.0000)
Pb (0.8545, 0.6455, 0.0000)
Ir (0.0000, 0.0000, 0.0000)

Values from the calculation:
Its density of states at the Fermi level is 3.95 states/eV/f.u. The space group is P4/mbm, No. 127.

***

(ii)
First-principles (PBE-GGA) data for crystalline Y2IrPb2 at its relaxed geometry, as listed in Alexandria via LeMat-Bulk.

Lattice parameters (Å, degrees): 3.5050 3.5050 11.0385 99.14 99.14 90.00
Element x y z (fractional)
Y (0.4233, 0.4233, 0.8466)
Pb (0.8085, 0.8085, 0.6171)
Y (0.5767, 0.5767, 0.1534)
Pb (0.1915, 0.1915, 0.3829)
Ir (0.0000, 0.0000, 0.0000)

Values from the calculation:
Its density of states at the Fermi level is 2.67 states/eV/f.u. The space group is I4/mmm, No. 139.

***

The most stable of them is (ii).

***

(i)
First-principles (PBE-GGA) data for crystalline Y3IrPb at its relaxed geometry, as listed in Alexandria via LeMat-Bulk.

Lattice parameters (Å, degrees): 5.3752 5.3752 5.3752 90.00 90.00 90.00
Element x y z (fractional)
Y (0.0000, 0.0000, 0.5000)
Pb (0.5000, 0.5000, 0.5000)
Y (0.0000, 0.5000, 0.0000)
Y (0.5000, 0.0000, 0.0000)
Ir (0.0000, 0.0000, 0.0000)

Values from the calculation:
Its density of states at the Fermi level is 7.16 states/eV/f.u. The space group is Pm-3m, No. 221.

***

(ii)
First-principles (PBE-GGA) data for crystalline Y3IrPb at its relaxed geometry, as listed in Alexandria via LeMat-Bulk.

Lattice parameters (Å, degrees): 12.9988 9.3469 9.3469 89.57 128.05 51.95
Element x y z (fractional)
Y (0.9892, 0.0518, 0.2668)
Y (0.1006, 0.5813, 0.5895)
Y (0.5108, 0.7668, 0.5518)
Ir (0.7500, 0.2428, 0.7428)
Ir (0.2500, 0.5042, 0.0042)
Ir (0.7500, 0.4958, 0.9958)
Ir (0.2500, 0.7572, 0.2572)
Pb (0.1499, 0.3400, 0.3555)
Y (0.0319, 0.2271, 0.9893)
Y (0.0108, 0.9482, 0.7332)
Y (0.9681, 0.7729, 0.0107)
Y (0.3994, 0.0895, 0.0813)
Pb (0.8501, 0.6600, 0.6445)
Pb (0.6499, 0.1445, 0.1600)
Y (0.6006, 0.9105, 0.9187)
Y (0.4681, 0.4893, 0.7271)
Y (0.4892, 0.2332, 0.4482)
Pb (0.3501, 0.8555, 0.8400)
Y (0.8994, 0.4187, 0.4105)
Y (0.5319, 0.5107, 0.2729)

Values from the calculation:
Its density of states at the Fermi level is 4.65 states/eV/f.u. The space group is C2/c, No. 15.

***

The most stable of them is (ii).

***

(i)
First-principles (PBE-GGA) data for crystalline Y3IrPb at its relaxed geometry, as listed in Alexandria via LeMat-Bulk.

Lattice parameters (Å, degrees): 4.6330 4.6330 7.9814 90.00 90.00 90.00
Element x y z (fractional)
Pb (0.0000, 0.0000, 0.1210)
Ir (0.5000, 0.5000, 0.5982)
Y (0.0000, 0.5000, 0.4026)
Y (0.5000, 0.0000, 0.4026)
Y (0.0000, 0.0000, 0.7394)

Values from the calculation:
Its density of states at the Fermi level is 8.11 states/eV/f.u. The space group is P4mm, No. 99.

***

(ii)
First-principles (PBE-GGA) data for crystalline Y3IrPb at its relaxed geometry, as listed in Alexandria via LeMat-Bulk.

Lattice parameters (Å, degrees): 7.7599 7.7599 7.7599 57.21 57.21 57.21
Element x y z (fractional)
Pb (0.3480, 0.3480, 0.3480)
Ir (0.1776, 0.1776, 0.1776)
Y (0.0620, 0.8088, 0.3962)
Y (0.3962, 0.0620, 0.8088)
Pb (0.6520, 0.6520, 0.6520)
Ir (0.8224, 0.8224, 0.8224)
Y (0.6038, 0.9380, 0.1912)
Y (0.1912, 0.6038, 0.9380)
Y (0.8088, 0.3962, 0.0620)
Y (0.9380, 0.1912, 0.6038)

Values from the calculation:
Its density of states at the Fermi level is 4.26 states/eV/f.u. The space group is R-3, No. 148.

***

(iii)
First-principles (PBE-GGA) data for crystalline Y3IrPb at its relaxed geometry, as listed in Alexandria via LeMat-Bulk.

Lattice parameters (Å, degrees): 6.9031 8.5625 5.3887 90.00 112.44 90.00
Element x y z (fractional)
Y (0.2686, 0.0537, 0.1325)
Ir (0.9102, 0.2500, 0.9572)
Pb (0.4311, 0.2500, 0.7111)
Pb (0.5689, 0.7500, 0.2889)
Y (0.7314, 0.5537, 0.8675)
Y (0.0977, 0.7500, 0.5468)
Y (0.7314, 0.9463, 0.8675)
Ir (0.0898, 0.7500, 0.0428)
Y (0.9023, 0.2500, 0.4532)
Y (0.2686, 0.4463, 0.1325)

Values from the calculation:
Its density of states at the Fermi level is 3.82 states/eV/f.u. The space group is P2_1/m, No. 11.

***

(iv)
First-principles (PBE-GGA) data for crystalline Y3IrPb at its relaxed geometry, as listed in Alexandria via LeMat-Bulk.

Lattice parameters (Å, degrees): 9.1735 3.7130 8.2434 89.99 86.74 101.66
Element x y z (fractional)
Y (0.9919, 0.0510, 0.2741)
Pb (0.9730, 0.5451, 0.6152)
Y (0.3019, 0.7047, 0.4444)
Y (0.4394, 0.2741, 0.1215)
Y (0.1638, 0.1374, 0.8517)
Y (0.7957, 0.4522, 0.9645)
Pb (0.4934, 0.8023, 0.7759)
Y (0.6525, 0.3802, 0.4655)
Ir (0.6812, 0.8948, 0.2022)
Ir (0.1896, 0.6498, 0.1139)

Values from the calculation:
Its density of states at the Fermi level is 3.51 states/eV/f.u. The space group is P1, No. 1.

***

The most stable of them is (iv).

***

(i)
First-principles (PBE-GGA) data for crystalline Y4IrPb at its relaxed geometry, as listed in Alexandria via LeMat-Bulk.

Lattice parameters (Å, degrees): 6.1063 8.5947 8.1540 114.93 103.06 106.36
Element x y z (fractional)
Y (0.3111, 0.6478, 0.8592)
Y (0.6889, 0.3522, 0.1408)
Y (0.9520, 0.7886, 0.1408)
Y (0.7895, 0.7189, 0.6607)
Pb (0.6205, 0.3705, 0.7410)
Y (0.0480, 0.2114, 0.8592)
Ir (0.7496, 0.9996, 0.9993)
Pb (0.3795, 0.6295, 0.2590)
Y (0.6288, 0.0582, 0.3393)
Ir (0.2504, 0.0004, 0.0007)
Y (0.3712, 0.9418, 0.6607)
Y (0.2105, 0.2811, 0.3393)

Values from the calculation:
Its density of states at the Fermi level is 5.90 states/eV/f.u. The space group is C2/c, No. 15.

***

(ii)
First-principles (PBE-GGA) data for crystalline Y4IrPb at its relaxed geometry, as listed in Alexandria via LeMat-Bulk.

Lattice parameters (Å, degrees): 6.0788 6.0788 6.0788 60.00 60.00 60.00
Element x y z (fractional)
Y (0.3760, 0.8721, 0.3760)
Pb (0.0000, 0.0000, 0.0000)
Y (0.3760, 0.3760, 0.8721)
Ir (0.7500, 0.7500, 0.7500)
Y (0.3760, 0.3760, 0.3760)
Y (0.8721, 0.3760, 0.3760)

Values from the calculation:
Its density of states at the Fermi level is 7.20 states/eV/f.u. The space group is F-43m, No. 216.

***

The most stable of them is (i).

***

(i)
First-principles (PBE-GGA) data for crystalline Ir2Pd at its relaxed geometry, as listed in Alexandria via LeMat-Bulk.

Lattice parameters (Å, degrees): 5.1751 4.4111 4.6509 61.69 56.22 31.53
Element x y z (fractional)
Ir (0.9750, 0.8265, 0.8482)
Ir (0.5859, 0.8272, 0.6249)
Pd (0.7805, 0.3268, 0.2366)

Values from the calculation:
Its density of states at the Fermi level is 3.74 states/eV/f.u. The space group is Immm, No. 71.

***

(ii)
First-principles (PBE-GGA) data for crystalline Ir2Pd at its relaxed geometry, as listed in Alexandria via LeMat-Bulk.

Lattice parameters (Å, degrees): 2.7563 2.7563 6.1697 102.91 102.91 90.00
Element x y z (fractional)
Ir (0.3274, 0.3274, 0.6548)
Ir (0.6726, 0.6726, 0.3452)
Pd (0.0000, 0.0000, 0.0000)

Values from the calculation:
Its density of states at the Fermi level is 4.47 states/eV/f.u. The space group is I4/mmm, No. 139.

***

The most stable of them is (ii).

***

(i)
First-principles (PBE-GGA) data for crystalline Pm5Ir2Pd2 at its relaxed geometry, as listed in Alexandria via LeMat-Bulk.

Lattice parameters (Å, degrees): 7.7509 7.7777 8.4148 117.53 90.00 90.00
Element x y z (fractional)
Ir (0.1302, 0.6312, 0.0000)
Pm (0.6665, 0.3039, 0.2642)
Ir (0.3698, 0.1312, 0.0000)
Pd (0.0000, 0.7945, 0.5890)
Pm (0.8335, 0.5397, 0.7358)
Pd (0.5000, 0.2945, 0.5890)
Pm (0.3335, 0.9603, 0.2642)
Pm (0.8335, 0.8039, 0.2642)
Ir (0.6302, 0.8688, 0.0000)
Pd (0.5000, 0.7055, 0.4110)
Pm (0.0000, 0.0000, 0.0000)
Pm (0.6665, 0.0397, 0.7358)
Ir (0.8698, 0.3688, 0.0000)
Pm (0.1665, 0.4603, 0.2642)
Pd (0.0000, 0.2055, 0.4110)
Pm (0.3335, 0.6961, 0.7358)
Pm (0.1665, 0.1961, 0.7358)
Pm (0.5000, 0.5000, 0.0000)

Values from the calculation:
Its density of states at the Fermi level is 4.94 states/eV/f.u. The space group is Cmce, No. 64.

***

(ii)
First-principles (PBE-GGA) data for crystalline Pm5Ir2Pd2 at its relaxed geometry, as listed in Alexandria via LeMat-Bulk.

Lattice parameters (Å, degrees): 7.1171 7.4729 10.1105 111.69 110.61 90.00
Element x y z (fractional)
Pm (0.4819, 0.5223, 0.3035)
Pm (0.1121, 0.7458, 0.5000)
Pm (0.5181, 0.2188, 0.6965)
Pm (0.2537, 0.6445, 0.8598)
Pm (0.6784, 0.7188, 0.6965)
Pm (0.7463, 0.7847, 0.1402)
Pd (0.8799, 0.4767, 0.8488)
Ir (0.0000, 0.9103, 0.0000)
Ir (0.5000, 0.4103, 0.0000)
Pm (0.8940, 0.2847, 0.1402)
Pd (0.1201, 0.6278, 0.1512)
Pm (0.1060, 0.1445, 0.8598)
Ir (0.2673, 0.4051, 0.5000)
Pm (0.3216, 0.0223, 0.3035)
Pd (0.5311, 0.1278, 0.1512)
Pd (0.4689, 0.9767, 0.8488)
Pm (0.8879, 0.2458, 0.5000)
Ir (0.7327, 0.9051, 0.5000)

Values from the calculation:
Its density of states at the Fermi level is 4.82 states/eV/f.u. The space group is Ima2, No. 46.

***

The most stable of them is (i).

***

(i)
First-principles (PBE-GGA) data for crystalline Pm4IrPd2 at its relaxed geometry, as listed in Alexandria via LeMat-Bulk.

Lattice parameters (Å, degrees): 4.4830 6.0714 7.5425 105.20 107.29 90.00
Element x y z (fractional)
Pm (0.4141, 0.7215, 0.8282)
Ir (0.0000, 0.0000, 0.0000)
Pd (0.2294, 0.3255, 0.4589)
Pm (0.1555, 0.8018, 0.3109)
Pd (0.7706, 0.6745, 0.5411)
Pm (0.5859, 0.2785, 0.1718)
Pm (0.8445, 0.1982, 0.6891)

Values from the calculation:
Its density of states at the Fermi level is 4.88 states/eV/f.u. The space group is C2/m, No. 12.

***

(ii)
First-principles (PBE-GGA) data for crystalline Pm4IrPd2 at its relaxed geometry, as listed in Alexandria via LeMat-Bulk.

Lattice parameters (Å, degrees): 5.0160 5.0160 8.7777 73.40 73.40 60.00
Element x y z (fractional)
Pd (0.7530, 0.7530, 0.7410)
Pd (0.2470, 0.2470, 0.2590)
Pm (0.6275, 0.6275, 0.1176)
Pm (0.8781, 0.8781, 0.3656)
Ir (0.0000, 0.0000, 0.0000)
Pm (0.3725, 0.3725, 0.8824)
Pm (0.1219, 0.1219, 0.6344)

Values from the calculation:
Its density of states at the Fermi level is 5.22 states/eV/f.u. The space group is R-3m, No. 166.

***

The most stable of them is (i).

***

(i)
First-principles (PBE-GGA) data for crystalline Pm8IrPd2 at its relaxed geometry, as listed in Alexandria via LeMat-Bulk.

Lattice parameters (Å, degrees): 6.3506 7.7863 7.7863 113.62 101.77 101.77
Element x y z (fractional)
Pm (0.3570, 0.9150, 0.6565)
Pm (0.9828, 0.8014, 0.1977)
Pm (0.5907, 0.0893, 0.3484)
Pm (0.3570, 0.6565, 0.9150)
Pm (0.9828, 0.1977, 0.8014)
Pm (0.5907, 0.3484, 0.0893)
Ir (0.1868, 0.0075, 0.0075)
Pm (0.8071, 0.6485, 0.6485)
Pm (0.1688, 0.3566, 0.3566)
Pd (0.4879, 0.3190, 0.6940)
Pd (0.4879, 0.6940, 0.3190)

Values from the calculation:
Its density of states at the Fermi level is 12.61 states/eV/f.u. The space group is Cm, No. 8.

***

(ii)
First-principles (PBE-GGA) data for crystalline Pm8IrPd2 at its relaxed geometry, as listed in Alexandria via LeMat-Bulk.

Lattice parameters (Å, degrees): 5.1760 6.8911 9.2759 102.09 106.20 90.00
Element x y z (fractional)
Pm (0.9676, 0.2121, 0.9352)
Pm (0.2020, 0.3291, 0.4040)
Pm (0.3358, 0.0269, 0.6715)
Pm (0.5873, 0.4373, 0.1746)
Pm (0.4127, 0.5627, 0.8254)
Pd (0.1922, 0.7378, 0.3843)
Pm (0.0324, 0.7879, 0.0648)
Pd (0.8078, 0.2622, 0.6157)
Pm (0.7980, 0.6709, 0.5960)
Ir (0.5000, 0.0000, 0.0000)
Pm (0.6642, 0.9731, 0.3285)

Values from the calculation:
Its density of states at the Fermi level is 12.20 states/eV/f.u. The space group is C2/m, No. 12.

***

The most stable of them is (ii).

***

(i)
First-principles (PBE-GGA) data for crystalline Pm3IrPd at its relaxed geometry, as listed in Alexandria via LeMat-Bulk.

Lattice parameters (Å, degrees): 6.8478 10.4415 8.0823 112.78 90.00 90.00
Element x y z (fractional)
Ir (0.7006, 0.0575, 0.0310)
Ir (0.7994, 0.5575, 0.0310)
Pm (0.0494, 0.6786, 0.8466)
Pm (0.5069, 0.4924, 0.7668)
Pm (0.4506, 0.1786, 0.8466)
Pm (0.9506, 0.3214, 0.1534)
Pm (0.0283, 0.6902, 0.3394)
Pd (0.7936, 0.5300, 0.5153)
Pd (0.2064, 0.4700, 0.4847)
Pm (0.0069, 0.0076, 0.2332)
Pm (0.4717, 0.1902, 0.3394)
Pm (0.5283, 0.8098, 0.6606)
Pm (0.4931, 0.5076, 0.2332)
Pm (0.5494, 0.8214, 0.1534)
Ir (0.2006, 0.4425, 0.9690)
Pm (0.9717, 0.3098, 0.6606)
Pd (0.2936, 0.9700, 0.4847)
Pm (0.9931, 0.9924, 0.7668)
Pd (0.7064, 0.0300, 0.5153)
Ir (0.2994, 0.9425, 0.9690)

Values from the calculation:
Its density of states at the Fermi level is 4.33 states/eV/f.u. The space group is P2_1/c, No. 14.

***

(ii)
First-principles (PBE-GGA) data for crystalline Pm3IrPd at its relaxed geometry, as listed in Alexandria via LeMat-Bulk.

Lattice parameters (Å, degrees): 4.2316 7.8608 16.0582 90.00 90.00 90.00
Element x y z (fractional)
Pm (0.7500, 0.8274, 0.2200)
Ir (0.7500, 0.2429, 0.4562)
Pm (0.2500, 0.0196, 0.4022)
Pm (0.7500, 0.9804, 0.5978)
Pm (0.7500, 0.3274, 0.2800)
Pm (0.7500, 0.4804, 0.9022)
Pm (0.2500, 0.8671, 0.9389)
Pd (0.7500, 0.3858, 0.7058)
Ir (0.7500, 0.7429, 0.0438)
Pm (0.2500, 0.3671, 0.5611)
Pd (0.7500, 0.8858, 0.7942)
Pm (0.7500, 0.1329, 0.0611)
Pm (0.7500, 0.6329, 0.4389)
Ir (0.2500, 0.2571, 0.9562)
Pd (0.2500, 0.1142, 0.2058)
Pm (0.2500, 0.6726, 0.7200)
Pm (0.2500, 0.1726, 0.7800)
Pd (0.2500, 0.6142, 0.2942)
Ir (0.2500, 0.7571, 0.5438)
Pm (0.2500, 0.5196, 0.0978)

Values from the calculation:
Its density of states at the Fermi level is 2.86 states/eV/f.u. The space group is Pnma, No. 62.

***

The most stable of them is (ii).